Entry 1:
Fe3Ag5: optimized geometry, PBE-GGA.

Cell: 7.736 7.736 5.142 Å, 90.00 90.00 120.00°
Atoms (fractional coordinates):
Fe1 0.000 0.426 0.250
Fe2 0.000 0.574 0.750
Fe3 0.426 0.000 0.250
Fe4 0.426 0.426 0.750
Fe5 0.574 0.000 0.750
Fe6 0.574 0.574 0.250
Ag1 0.000 0.223 0.750
Ag2 0.000 0.777 0.250
Ag3 0.223 0.000 0.750
Ag4 0.223 0.223 0.250
Ag5 0.333 0.667 0.000
Ag6 0.333 0.667 0.500
Ag7 0.667 0.333 0.000
Ag8 0.667 0.333 0.500
Ag9 0.777 0.000 0.250
Ag10 0.777 0.777 0.750

Calculated values
Relative energy among the computed polymorphs (eV/atom): 0.127
Space-group type: P6_3/mcm (193)
Fermi-level density of states (states/eV/atom): 1.335
Energy of formation (kJ/mol of atoms): 53.2

---

Entry 2:
Fe2Ag: optimized geometry, PBE-GGA.

Cell: 6.019 6.019 3.833 Å, 90.00 90.00 142.68°
Atoms (fractional coordinates):
Fe1 0.099 0.901 0.750
Fe2 0.249 0.751 0.250
Fe3 0.751 0.249 0.750
Fe4 0.901 0.099 0.250
Ag1 0.415 0.585 0.750
Ag2 0.585 0.415 0.250

Calculated values
Space-group type: Cmcm (63)
Fermi-level density of states (states/eV/atom): 0.604
Energy of formation (kJ/mol of atoms): 34.9

---

Entry 3:
FeAg: optimized geometry, PBE-GGA.

Cell: 5.725 5.725 6.006 Å, 104.63 104.63 28.79°
Atoms (fractional coordinates):
Fe1 0.000 0.000 0.000
Fe2 0.014 0.014 0.612
Fe3 0.359 0.359 0.717
Ag1 0.372 0.372 0.254
Ag2 0.664 0.664 0.382
Ag3 0.698 0.698 0.903

Calculated values
Space-group type: Cm (8)
Fermi-level density of states (states/eV/atom): 0.703
Energy of formation (kJ/mol of atoms): 30.3

---

Entry 4:
FeAg: optimized geometry, PBE-GGA.

Cell: 4.995 4.995 4.995 Å, 90.00 90.00 90.00°
Atoms (fractional coordinates):
Fe1 0.098 0.098 0.098
Fe2 0.402 0.902 0.598
Fe3 0.598 0.402 0.902
Fe4 0.902 0.598 0.402
Ag1 0.097 0.597 0.903
Ag2 0.403 0.403 0.403
Ag3 0.597 0.903 0.097
Ag4 0.903 0.097 0.597

Calculated values
Space-group type: P2_13 (198)
Fermi-level density of states (states/eV/atom): 1.196
Energy of formation (kJ/mol of atoms): 56.3

---

Entry 5:
FeAg: optimized geometry, PBE-GGA.

Cell: 4.919 4.919 4.919 Å, 32.22 32.22 32.22°
Atoms (fractional coordinates):
Fe1 0.000 0.000 0.000
Ag1 0.500 0.500 0.500

Calculated values
Space-group type: R-3m (166)
Fermi-level density of states (states/eV/atom): 1.008
Energy of formation (kJ/mol of atoms): 41.0

---

Entry 6:
FeAg: optimized geometry, PBE-GGA.

Cell: 2.746 2.746 3.999 Å, 90.00 90.00 90.00°
Atoms (fractional coordinates):
Fe1 0.000 0.000 0.000
Ag1 0.500 0.500 0.500

Calculated values
Space-group type: P4/mmm (123)
Fermi-level density of states (states/eV/atom): 0.935
Energy of formation (kJ/mol of atoms): 41.4